No. 1
This record from Alexandria describes a relaxed structure of ThTcBr. The functional is PBE-GGA. Values from VASP.

Quantum ESPRESSO input file:
```
&SYSTEM
  ibrav = 0, nat = 12, ntyp = 3
/
ATOMIC_SPECIES
Th 232.04 Th.upf
Tc 98.00 Tc.upf
Br 79.90 Br.upf
CELL_PARAMETERS angstrom
7.238 0.000 0.000
0.000 4.181 0.000
-2.474 0.000 11.812
ATOMIC_POSITIONS crystal
Th 0.060 0.000 0.174
Th 0.440 0.500 0.826
Th 0.560 0.500 0.174
Th 0.940 0.000 0.826
Tc 0.157 0.500 0.973
Tc 0.343 0.000 0.027
Tc 0.657 0.000 0.973
Tc 0.843 0.500 0.027
Br 0.216 0.000 0.655
Br 0.284 0.500 0.345
Br 0.716 0.500 0.655
Br 0.784 0.000 0.345
```

Results
- calculated volume (Å³ per cell) = 357
- formation energy without anion corrections (meV per atom) = -850
- space group = C2/m, No. 12
- total DFT energy (no corrections) (eV/atom) = -7.336

---

No. 2
This record from Alexandria describes a relaxed structure of K3ScAs2. The functional is PBE-GGA. Values from VASP.

Quantum ESPRESSO input file:
```
&SYSTEM
  ibrav = 0, nat = 12, ntyp = 3
/
ATOMIC_SPECIES
K 39.10 K.upf
Sc 44.96 Sc.upf
As 74.92 As.upf
CELL_PARAMETERS angstrom
9.084 -2.436 0.000
9.084 2.436 0.000
-2.330 0.000 9.218
ATOMIC_POSITIONS crystal
K 0.062 0.062 0.177
K 0.197 0.197 0.563
K 0.314 0.314 0.943
K 0.686 0.686 0.057
K 0.803 0.803 0.437
K 0.938 0.938 0.823
Sc 0.439 0.439 0.329
Sc 0.561 0.561 0.671
As 0.115 0.115 0.825
As 0.409 0.409 0.590
As 0.591 0.591 0.410
As 0.885 0.885 0.175
```

Results
- calculated volume (Å³ per cell) = 408
- formation enthalpy at 0 K (eV per atom) = -0.5856
- space group = C2/m, No. 12
- total DFT energy (no corrections) (eV/atom) = -3.739

---

No. 3
This record from Alexandria describes a relaxed structure of CsNp4Se8. The functional is PBE-GGA. Values from VASP.

Quantum ESPRESSO input file:
```
&SYSTEM
  ibrav = 0, nat = 13, ntyp = 3
/
ATOMIC_SPECIES
Cs 132.91 Cs.upf
Np 237.00 Np.upf
Se 78.96 Se.upf
CELL_PARAMETERS angstrom
9.809 -2.116 0.000
9.809 2.116 0.000
-8.710 0.000 10.175
ATOMIC_POSITIONS crystal
Cs 0.000 0.000 0.000
Np 0.146 0.146 0.466
Np 0.341 0.341 0.175
Np 0.660 0.660 0.826
Np 0.855 0.855 0.534
Se 0.042 0.042 0.763
Se 0.287 0.287 0.921
Se 0.336 0.336 0.658
Se 0.376 0.376 0.418
Se 0.626 0.626 0.584
Se 0.665 0.665 0.343
Se 0.714 0.714 0.081
Se 0.960 0.960 0.239
```

Results
- calculated volume (Å³ per cell) = 422
- formation energy without anion corrections (meV per atom) = -1114
- space group = Cm, No. 8
- total DFT energy (no corrections) (eV/atom) = -7.306
- polymorph energy (0 for the lowest one) (meV/atom) = 54

---

No. 4
This record from Alexandria describes a relaxed structure of Sr2LiHgAu6. The functional is PBE-GGA. Values from VASP.

Quantum ESPRESSO input file:
```
&SYSTEM
  ibrav = 0, nat = 10, ntyp = 4
/
ATOMIC_SPECIES
Sr 87.62 Sr.upf
Li 6.94 Li.upf
Hg 200.59 Hg.upf
Au 196.97 Au.upf
CELL_PARAMETERS angstrom
6.661 -2.748 0.000
6.661 2.748 0.000
-6.585 0.000 6.762
ATOMIC_POSITIONS crystal
Sr 0.246 0.246 0.206
Sr 0.754 0.754 0.794
Li 0.000 0.000 0.500
Hg 0.500 0.500 0.000
Au 0.243 0.744 0.261
Au 0.247 0.247 0.587
Au 0.256 0.757 0.739
Au 0.744 0.243 0.261
Au 0.753 0.753 0.413
Au 0.757 0.256 0.739
```

Results
- calculated volume (Å³ per cell) = 248
- formation enthalpy at 0 K (eV per atom) = -0.4700
- space group = C2/m, No. 12
- total DFT energy (no corrections) (eV/atom) = -2.994

---

No. 5
This record from Alexandria describes a relaxed structure of Rb3PbI. The functional is PBE-GGA. Values from VASP.

Quantum ESPRESSO input file:
```
&SYSTEM
  ibrav = 0, nat = 5, ntyp = 3
/
ATOMIC_SPECIES
Rb 85.47 Rb.upf
Pb 207.20 Pb.upf
I 126.90 I.upf
CELL_PARAMETERS angstrom
6.902 0.000 0.000
0.000 6.902 0.000
0.000 0.000 6.902
ATOMIC_POSITIONS crystal
Rb 0.000 0.000 0.500
Rb 0.000 0.500 0.000
Rb 0.500 0.000 0.000
Pb 0.500 0.500 0.500
I 0.000 0.000 0.000
```

Results
- calculated volume (Å³ per cell) = 329
- formation energy without anion corrections (meV per atom) = -383
- space group = Pm-3m, No. 221
- total DFT energy (no corrections) (eV/atom) = -2.015
- polymorph energy (0 for the lowest one) (meV/atom) = 0

---

No. 6
This record from Alexandria describes a relaxed structure of Ni2IrAu. The functional is PBE-GGA. Values from VASP.

Quantum ESPRESSO input file:
```
&SYSTEM
  ibrav = 0, nat = 8, ntyp = 3
/
ATOMIC_SPECIES
Ni 58.69 Ni.upf
Ir 192.22 Ir.upf
Au 196.97 Au.upf
CELL_PARAMETERS angstrom
2.750 0.000 0.000
0.000 4.599 0.000
0.000 0.000 8.988
ATOMIC_POSITIONS crystal
Ni 0.000 0.000 0.000
Ni 0.000 0.500 0.220
Ni 0.500 0.000 0.220
Ni 0.500 0.500 0.000
Ir 0.000 0.500 0.765
Ir 0.500 0.000 0.765
Au 0.000 0.000 0.476
Au 0.500 0.500 0.476
```

Results
- calculated volume (Å³ per cell) = 114
- formation enthalpy at 0 K (eV per atom) = 0.3090
- space group = Cmm2, No. 35
- total DFT energy (no corrections) (eV/atom) = -5.616
- polymorph energy (0 for the lowest one) (meV/atom) = 238

---

No. 7
This record from Alexandria describes a relaxed structure of Ce2Ga4Ge2Os. The functional is PBE-GGA. Values from VASP.

Quantum ESPRESSO input file:
```
&SYSTEM
  ibrav = 0, nat = 9, ntyp = 4
/
ATOMIC_SPECIES
Ce 140.12 Ce.upf
Ga 69.72 Ga.upf
Ge 72.64 Ge.upf
Os 190.23 Os.upf
CELL_PARAMETERS angstrom
-3.127 3.127 4.434
3.127 -3.127 4.434
3.127 3.127 -4.434
ATOMIC_POSITIONS crystal
Ce 0.250 0.750 0.500
Ce 0.750 0.250 0.500
Ga 0.216 0.216 0.432
Ga 0.216 0.784 0.000
Ga 0.784 0.216 0.000
Ga 0.784 0.784 0.568
Ge 0.218 0.218 0.000
Ge 0.782 0.782 0.000
Os 0.500 0.500 0.000
```

Results
- calculated volume (Å³ per cell) = 173
- formation enthalpy at 0 K (eV per atom) = -0.4964
- space group = I4/mmm, No. 139
- total DFT energy (no corrections) (eV/atom) = -5.434

---

No. 8
This record from Alexandria describes a relaxed structure of Fe2CoP2. The functional is PBE-GGA. Values from VASP.

Quantum ESPRESSO input file:
```
&SYSTEM
  ibrav = 0, nat = 10, ntyp = 3
/
ATOMIC_SPECIES
Fe 55.84 Fe.upf
Co 58.93 Co.upf
P 30.97 P.upf
CELL_PARAMETERS angstrom
6.403 0.000 0.000
0.000 6.403 0.000
0.000 0.000 2.611
ATOMIC_POSITIONS crystal
Fe 0.143 0.357 0.000
Fe 0.357 0.857 0.000
Fe 0.643 0.143 0.000
Fe 0.857 0.643 0.000
Co 0.000 0.000 0.500
Co 0.500 0.500 0.500
P 0.156 0.656 0.500
P 0.344 0.156 0.500
P 0.656 0.844 0.500
P 0.844 0.344 0.500
```

Results
- calculated volume (Å³ per cell) = 107
- formation enthalpy at 0 K (eV per atom) = -0.2859
- space group = P4/mbm, No. 127
- total DFT energy (no corrections) (eV/atom) = -7.256

---

No. 9
This record from Alexandria describes a relaxed structure of TbPmZnCu. The functional is PBE-GGA. Values from VASP.

Quantum ESPRESSO input file:
```
&SYSTEM
  ibrav = 0, nat = 4, ntyp = 4
/
ATOMIC_SPECIES
Tb 158.93 Tb.upf
Pm 145.00 Pm.upf
Zn 65.41 Zn.upf
Cu 63.55 Cu.upf
CELL_PARAMETERS angstrom
3.570 0.000 0.000
0.000 3.570 0.000
0.000 0.000 7.168
ATOMIC_POSITIONS crystal
Tb 0.000 0.000 0.000
Pm 0.000 0.000 0.512
Zn 0.500 0.500 0.247
Cu 0.500 0.500 0.773
```

Results
- calculated volume (Å³ per cell) = 91
- formation enthalpy at 0 K (eV per atom) = -0.2607
- space group = P4mm, No. 99
- total DFT energy (no corrections) (eV/atom) = -3.948
- polymorph energy (0 for the lowest one) (meV/atom) = 0

---

No. 10
This record from Alexandria describes a relaxed structure of TaAgBr2. The functional is PBE-GGA. Values from VASP.

Quantum ESPRESSO input file:
```
&SYSTEM
  ibrav = 0, nat = 8, ntyp = 3
/
ATOMIC_SPECIES
Ta 180.95 Ta.upf
Ag 107.87 Ag.upf
Br 79.90 Br.upf
CELL_PARAMETERS angstrom
6.525 0.000 0.000
0.000 8.764 0.000
-0.100 0.000 3.177
ATOMIC_POSITIONS crystal
Ta 0.000 0.000 0.000
Ta 0.500 0.500 0.000
Ag 0.000 0.500 0.000
Ag 0.500 0.000 0.000
Br 0.250 0.250 0.000
Br 0.250 0.750 0.000
Br 0.750 0.250 0.000
Br 0.750 0.750 0.000
```

Results
- calculated volume (Å³ per cell) = 182
- formation energy without anion corrections (meV per atom) = 495
- space group = C2/m, No. 12
- total DFT energy (no corrections) (eV/atom) = -4.017
- polymorph energy (0 for the lowest one) (meV/atom) = 579

---

- Among the records above, which one has the lowest total DFT energy (no corrections)?
  ThTcBr